1.
{"formula": "RbCu2TeSe", "functional": "PBE-GGA", "state": "optimized geometry", "raw_formation_energy_kj_per_mol_atoms": -45, "m_tot_mub_per_cell": 0.0, "cell": [[2.9522, -7.6025, 0.0000], [2.9522, 7.6025, 0.0000], [0.0000, 0.0000, 5.7126]], "species": ["Rb", "Rb", "Cu", "Cu", "Cu", "Cu", "Te", "Te", "Se", "Se"], "frac_coords": [[0.2461, 0.7539, 0.7500], [0.7539, 0.2461, 0.2500], [0.2287, 0.2287, 0.0000], [0.2287, 0.2287, 0.5000], [0.7713, 0.7713, 0.0000], [0.7713, 0.7713, 0.5000], [0.3982, 0.6018, 0.2500], [0.6018, 0.3982, 0.7500], [0.0987, 0.9013, 0.2500], [0.9013, 0.0987, 0.7500]]}

2.
{"formula": "RbCu4TeSe2", "functional": "PBE-GGA", "state": "optimized geometry", "raw_formation_energy_kj_per_mol_atoms": -34, "m_tot_mub_per_cell": 0.0, "cell": [[4.0346, 0.0000, 0.0000], [0.0000, 4.0346, 0.0000], [0.0000, 0.0000, 10.6069]], "species": ["Rb", "Cu", "Cu", "Cu", "Cu", "Te", "Se", "Se"], "frac_coords": [[0.0000, 0.0000, 0.0000], [0.0000, 0.5000, 0.3280], [0.0000, 0.5000, 0.6720], [0.5000, 0.0000, 0.3280], [0.5000, 0.0000, 0.6720], [0.0000, 0.0000, 0.5000], [0.5000, 0.5000, 0.1988], [0.5000, 0.5000, 0.8012]]}

3.
{"formula": "Rb2ThCuSe4", "functional": "PBE-GGA", "state": "optimized geometry", "raw_formation_energy_kj_per_mol_atoms": -98, "m_tot_mub_per_cell": 1.1, "cell": [[5.7925, -5.9802, 0.0000], [5.7925, 5.9802, 0.0000], [-3.7470, 0.0000, 7.8276]], "species": ["Rb", "Rb", "Rb", "Rb", "Th", "Th", "Cu", "Cu", "Se", "Se", "Se", "Se", "Se", "Se", "Se", "Se"], "frac_coords": [[0.0000, 0.0000, 0.0000], [0.0000, 0.0000, 0.5000], [0.0000, 0.5000, 0.0000], [0.5000, 0.0000, 0.5000], [0.5000, 0.5000, 0.0000], [0.5000, 0.5000, 0.5000], [0.0000, 0.5000, 0.5000], [0.5000, 0.0000, 0.0000], [0.1951, 0.6627, 0.4288], [0.2736, 0.3518, 0.6413], [0.3373, 0.8049, 0.0712], [0.3518, 0.2736, 0.1413], [0.6482, 0.7264, 0.8587], [0.6627, 0.1951, 0.9288], [0.7264, 0.6482, 0.3587], [0.8049, 0.3373, 0.5712]]}

4.
{"formula": "RbTh2Cu2Se6", "functional": "PBE-GGA", "state": "optimized geometry", "raw_formation_energy_kj_per_mol_atoms": -105, "m_tot_mub_per_cell": 0.0, "cell": [[7.6761, 0.0000, 0.0000], [-3.4900, 6.9802, 0.0000], [-3.8325, -2.2984, 6.6124]], "species": ["Rb", "Th", "Th", "Cu", "Cu", "Se", "Se", "Se", "Se", "Se", "Se"], "frac_coords": [[0.0000, 0.0000, 0.0000], [0.3417, 0.0127, 0.6715], [0.6583, 0.9873, 0.3285], [0.0417, 0.5753, 0.3077], [0.9583, 0.4247, 0.6923], [0.1358, 0.2436, 0.6822], [0.2431, 0.7558, 0.9157], [0.4493, 0.7458, 0.5289], [0.5507, 0.2542, 0.4711], [0.7569, 0.2442, 0.0843], [0.8642, 0.7564, 0.3178]]}

5.
{"formula": "RbTh2CuSe5", "functional": "PBE-GGA", "state": "optimized geometry", "raw_formation_energy_kj_per_mol_atoms": -136, "m_tot_mub_per_cell": 0.0, "cell": [[-4.1151, 4.1151, 7.2564], [4.1151, -4.1151, 7.2564], [4.1151, 4.1151, -7.2564]], "species": ["Rb", "Rb", "Th", "Th", "Th", "Th", "Cu", "Cu", "Se", "Se", "Se", "Se", "Se", "Se", "Se", "Se", "Se", "Se"], "frac_coords": [[0.2500, 0.2500, 0.0000], [0.7500, 0.7500, 0.0000], [0.1634, 0.6634, 0.8269], [0.3366, 0.1634, 0.5000], [0.6634, 0.8366, 0.5000], [0.8366, 0.3366, 0.1731], [0.2500, 0.7500, 0.5000], [0.7500, 0.2500, 0.5000], [0.0000, 0.0000, 0.0000], [0.0164, 0.2307, 0.5000], [0.2307, 0.7307, 0.2142], [0.2693, 0.4836, 0.5000], [0.4836, 0.9836, 0.2142], [0.5000, 0.5000, 0.0000], [0.5164, 0.0164, 0.7858], [0.7307, 0.5164, 0.5000], [0.7693, 0.2693, 0.7858], [0.9836, 0.7693, 0.5000]]}

6.
{"formula": "Rb4Th3CuSe8", "functional": "PBE-GGA", "state": "optimized geometry", "raw_formation_energy_kj_per_mol_atoms": -131, "m_tot_mub_per_cell": 0.0, "cell": [[7.4950, -4.2722, 0.0000], [7.4950, 4.2722, 0.0000], [-4.9938, 0.0000, 8.0102]], "species": ["Rb", "Rb", "Rb", "Rb", "Th", "Th", "Th", "Cu", "Se", "Se", "Se", "Se", "Se", "Se", "Se", "Se"], "frac_coords": [[0.0000, 0.0000, 0.0000], [0.0000, 0.5000, 0.0000], [0.5000, 0.0000, 0.0000], [0.5000, 0.5000, 0.0000], [0.0000, 0.0000, 0.5000], [0.0000, 0.5000, 0.5000], [0.5000, 0.0000, 0.5000], [0.5000, 0.5000, 0.5000], [0.2346, 0.2346, 0.7063], [0.2360, 0.7266, 0.6915], [0.2641, 0.2641, 0.3007], [0.2734, 0.7640, 0.3085], [0.7266, 0.2360, 0.6915], [0.7359, 0.7359, 0.6993], [0.7640, 0.2734, 0.3085], [0.7654, 0.7654, 0.2937]]}